1.
The following is a meta-GGA SCAN calculation of BiSb2P at its PBEsol-relaxed geometry, from Alexandria via LeMat-Bulk.

The space group is I-42d (No. 122) and the conventional cell measures 5.796, 5.796 and 15.544 Å, with angles of 90.00, 90.00 and 90.00 degrees. Symmetry generates all atoms from Bi at (0.000, 0.000, 0.000), Sb at (0.185, 0.250, 0.625) and P at (0.000, 0.000, 0.500).

For the uncorrected formation energy, the calculation gives 1.4 eV per formula unit. The total energy is -2.97824 Ry per atom. The calculation puts the mass density at 6.15 Mg/m³.

2.
The following is a meta-GGA SCAN calculation of Bi3SbP at its PBEsol-relaxed geometry, from Alexandria via LeMat-Bulk.

The space group is Pm-3m (No. 221) and the conventional cell measures 5.702, 5.702 and 5.702 Å, with angles of 90.00, 90.00 and 90.00 degrees. Symmetry generates all atoms from Bi at (0.000, 0.000, 0.500), Sb at (0.000, 0.000, 0.000) and P at (0.500, 0.500, 0.500).

For the uncorrected formation energy, the calculation gives 6.5 eV per formula unit. The total energy is -4.07075 Ry per atom. The calculation puts the mass density at 6.98 Mg/m³.